! TiCr2NiO6 PBE with a Hubbard U relaxed; values from VASP
! **Total energy**: -76.19 eV per cell
! **Space group**: No. 146
&SYSTEM
  ibrav = 0, nat = 10, ntyp = 4
/
ATOMIC_SPECIES
Ti 47.87 Ti.upf
Cr 52.00 Cr.upf
Ni 58.69 Ni.upf
O 16.00 O.upf
ATOMIC_POSITIONS angstrom
Ti -0.5950 1.8930 -2.1819
Cr -2.7093 3.6543 -4.2737
Cr -4.6655 1.5397 -1.9405
Ni -3.4640 5.5337 -6.4464
O -1.5689 3.4796 -2.5913
O -1.6406 2.3666 -5.4403
O -1.8743 5.3802 -4.9690
O -4.1598 3.7920 -5.6742
O -4.0926 4.6912 -3.2273
O -3.8977 2.1307 -3.6814
CELL_PARAMETERS angstrom
-0.5120 4.7881 -1.6242
-0.3790 0.9686 -4.9744
-4.8880 1.5206 -1.9273